(1)
Below is a geometry-optimized La3Cd5 structure, with properties calculated at the PBE level.

Cell and atoms, written as CIF:
```
data_La3Cd5
_chemical_formula_sum 'La6 Cd10'
_cell_length_a 7.750
_cell_length_b 7.750
_cell_length_c 7.750
_cell_angle_alpha 90.00
_cell_angle_beta 90.00
_cell_angle_gamma 90.00
_space_group_name_H-M_alt 'I m -3 m'
_space_group_IT_number 229
_space_group_name_Hall '-I 4 2 3'
loop_
_atom_site_label
_atom_site_fract_x
_atom_site_fract_y
_atom_site_fract_z
La1 0.000 0.000 0.500
Cd1 0.000 0.000 0.000
Cd2 0.250 0.250 0.250
```

Properties
Energy: -2.67 eV/atom
M_tot: 0.0000 μB per atom
Energy above the lowest structure with this stoichiometry: 3.8 kJ per mole of atoms
Formation energy from the elements: -0.252 eV/atom

(2)
Below is a geometry-optimized La3Cd structure, with properties calculated at the PBE level.

Cell and atoms, written as CIF:
```
data_La3Cd
_chemical_formula_sum 'La6 Cd2'
_cell_length_a 7.2744
_cell_length_b 7.2744
_cell_length_c 5.6647
_cell_angle_alpha 90.00
_cell_angle_beta 90.00
_cell_angle_gamma 120.00
_space_group_name_H-M_alt 'P 63/m m c'
_space_group_IT_number 194
_space_group_name_Hall '-P 6c 2c'
loop_
_atom_site_label
_atom_site_fract_x
_atom_site_fract_y
_atom_site_fract_z
La1 0.1778 0.3556 0.2500
Cd1 0.3333 0.6667 0.7500
```

Properties
Energy: -4.05 eV/atom
M_tot: 0.0000 μB per atom
Formation energy from the elements: -0.123 eV/atom

(3)
Below is a geometry-optimized LaCd3 structure, with properties calculated at the PBE level.

Cell and atoms, written as CIF:
```
data_LaCd3
_chemical_formula_sum 'La3 Cd9'
_cell_length_a 3.6124
_cell_length_b 3.6124
_cell_length_c 29.5528
_cell_angle_alpha 90.00
_cell_angle_beta 90.00
_cell_angle_gamma 120.00
_space_group_name_H-M_alt 'R -3 m'
_space_group_IT_number 166
_space_group_name_Hall '-R 3 2"'
loop_
_atom_site_label
_atom_site_fract_x
_atom_site_fract_y
_atom_site_fract_z
La1 0.0000 0.0000 0.0000
Cd1 0.0000 0.0000 0.2418
Cd2 0.0000 0.0000 0.5000
```

Properties
Energy: -1.97 eV/atom
M_tot: 0.0000 μB per atom
Formation energy from the elements: -0.050 eV/atom

(4)
Below is a geometry-optimized La3Cd structure, with properties calculated at the PBE level.

Cell and atoms, written as CIF:
```
data_La3Cd
_chemical_formula_sum 'La6 Cd2'
_cell_length_a 4.989
_cell_length_b 4.989
_cell_length_c 10.363
_cell_angle_alpha 90.00
_cell_angle_beta 90.00
_cell_angle_gamma 90.00
_space_group_name_H-M_alt 'I 4/m m m'
_space_group_IT_number 139
_space_group_name_Hall '-I 4 2'
loop_
_atom_site_label
_atom_site_fract_x
_atom_site_fract_y
_atom_site_fract_z
La1 0.000 0.000 0.000
La2 0.000 0.500 0.250
Cd1 0.000 0.000 0.500
```

Properties
Energy: -4.06 eV/atom
M_tot: 0.0001 μB per atom
Formation energy from the elements: -0.135 eV/atom

(5)
Below is a geometry-optimized La8Cd3 structure, with properties calculated at the PBE level.

Cell and atoms, written as CIF:
```
data_La8Cd3
_chemical_formula_sum 'La16 Cd6'
_cell_length_a 11.541
_cell_length_b 4.798
_cell_length_c 13.145
_cell_angle_alpha 90.00
_cell_angle_beta 104.28
_cell_angle_gamma 90.00
_space_group_name_H-M_alt 'C 1 2/m 1'
_space_group_IT_number 12
_space_group_name_Hall '-C 2y'
loop_
_atom_site_label
_atom_site_fract_x
_atom_site_fract_y
_atom_site_fract_z
La1 0.049 0.000 0.320
La2 0.125 0.000 0.960
La3 0.190 0.500 0.779
La4 0.220 0.000 0.587
Cd1 0.000 0.500 0.500
Cd2 0.094 0.500 0.138
```

Properties
Energy: -3.97 eV/atom
M_tot: 0.0000 μB per atom
Formation energy from the elements: -0.139 eV/atom

(6)
Below is a geometry-optimized LaCd11 structure, with properties calculated at the PBE level.

Cell and atoms, written as CIF:
```
data_LaCd11
_chemical_formula_sum 'La4 Cd44'
_cell_length_a 11.963
_cell_length_b 11.963
_cell_length_c 7.838
_cell_angle_alpha 90.00
_cell_angle_beta 90.00
_cell_angle_gamma 90.00
_space_group_name_H-M_alt 'I 41/a m d'
_space_group_IT_number 141
loop_
_space_group_symop_operation_xyz
'x,y,z'
'-x,-y,-z'
'-y+1/4,x+3/4,z+1/4'
'y+1/4,-x+3/4,-z+1/4'
'-x+1/2,-y,z+1/2'
'x+1/2,y,-z+1/2'
'y+1/4,-x+1/4,z+3/4'
'-y+1/4,x+1/4,-z+3/4'
'x,-y,-z'
'-x,y,z'
'-y+1/4,-x+1/4,-z+3/4'
'y+1/4,x+1/4,z+3/4'
'-x+1/2,y,-z+1/2'
'x+1/2,-y,z+1/2'
'y+1/4,x+3/4,-z+1/4'
'-y+1/4,-x+3/4,z+1/4'
'x+1/2,y+1/2,z+1/2'
'-x+1/2,-y+1/2,-z+1/2'
'-y+3/4,x+1/4,z+3/4'
'y+3/4,-x+1/4,-z+3/4'
'-x,-y+1/2,z'
'x,y+1/2,-z'
'y+3/4,-x+3/4,z+1/4'
'-y+3/4,x+3/4,-z+1/4'
'x+1/2,-y+1/2,-z+1/2'
'-x+1/2,y+1/2,z+1/2'
'-y+3/4,-x+3/4,-z+1/4'
'y+3/4,x+3/4,z+1/4'
'-x,y+1/2,-z'
'x,-y+1/2,z'
'y+3/4,x+1/4,-z+3/4'
'-y+3/4,-x+1/4,z+3/4'
loop_
_atom_site_label
_atom_site_fract_x
_atom_site_fract_y
_atom_site_fract_z
La1 0.000 0.250 0.375
Cd1 0.000 0.000 0.000
Cd2 0.000 0.250 0.875
Cd3 0.120 0.047 0.671
```

Properties
Energy: -1.38 eV/atom
M_tot: 0.0000 μB per atom
Energy above the lowest structure with this stoichiometry: 3.7 kJ per mole of atoms
Formation energy from the elements: -0.134 eV/atom

(7)
Below is a geometry-optimized La3Cd structure, with properties calculated at the PBE level.

Cell and atoms, written as CIF:
```
data_La3Cd
_chemical_formula_sum 'La12 Cd4'
_cell_length_a 7.798
_cell_length_b 11.723
_cell_length_c 5.739
_cell_angle_alpha 90.00
_cell_angle_beta 90.00
_cell_angle_gamma 90.00
_space_group_name_H-M_alt 'C m c m'
_space_group_IT_number 63
_space_group_name_Hall '-C 2c 2'
loop_
_atom_site_label
_atom_site_fract_x
_atom_site_fract_y
_atom_site_fract_z
La1 0.000 0.085 0.250
La2 0.238 0.364 0.250
Cd1 0.000 0.385 0.750
```

Properties
Energy: -4.05 eV/atom
M_tot: 0.0000 μB per atom
Formation energy from the elements: -0.130 eV/atom

(8)
Below is a geometry-optimized LaCd6 structure, with properties calculated at the PBE level.

Cell and atoms, written as CIF:
```
data_LaCd6
_chemical_formula_sum 'La4 Cd24'
_cell_length_a 9.412
_cell_length_b 6.084
_cell_length_c 11.882
_cell_angle_alpha 90.00
_cell_angle_beta 90.00
_cell_angle_gamma 90.00
_space_group_name_H-M_alt 'P n m a'
_space_group_IT_number 62
_space_group_name_Hall '-P 2ac 2n'
loop_
_atom_site_label
_atom_site_fract_x
_atom_site_fract_y
_atom_site_fract_z
La1 0.242 0.250 0.057
Cd1 0.065 0.750 0.085
Cd2 0.070 0.016 0.309
Cd3 0.098 0.250 0.525
Cd4 0.132 0.750 0.848
Cd5 0.187 0.250 0.762
```

Properties
Energy: -1.68 eV/atom
M_tot: 0.0000 μB per atom
Energy above the lowest structure with this stoichiometry: 0.0 kJ per mole of atoms
Formation energy from the elements: -0.189 eV/atom

(9)
Below is a geometry-optimized LaCd2 structure, with properties calculated at the PBE level.

Cell and atoms, written as CIF:
```
data_LaCd2
_chemical_formula_sum 'La1 Cd2'
_cell_length_a 5.1498
_cell_length_b 5.1498
_cell_length_c 3.5215
_cell_angle_alpha 90.00
_cell_angle_beta 90.00
_cell_angle_gamma 120.00
_space_group_name_H-M_alt 'P 6/m m m'
_space_group_IT_number 191
_space_group_name_Hall '-P 6 2'
loop_
_atom_site_label
_atom_site_fract_x
_atom_site_fract_y
_atom_site_fract_z
La1 0.0000 0.0000 0.0000
Cd1 0.3333 0.6667 0.5000
```

Properties
Energy: -2.63 eV/atom
M_tot: 0.0372 μB per atom
Formation energy from the elements: -0.375 eV/atom

(10)
Below is a geometry-optimized LaCd2 structure, with properties calculated at the PBE level.

Cell and atoms, written as CIF:
```
data_LaCd2
_chemical_formula_sum 'La4 Cd8'
_cell_length_a 9.228
_cell_length_b 5.310
_cell_length_c 6.812
_cell_angle_alpha 90.00
_cell_angle_beta 90.05
_cell_angle_gamma 90.00
_space_group_name_H-M_alt 'C 1 2/m 1'
_space_group_IT_number 12
_space_group_name_Hall '-C 2y'
loop_
_atom_site_label
_atom_site_fract_x
_atom_site_fract_y
_atom_site_fract_z
La1 0.167 0.000 0.294
Cd1 0.000 0.500 0.000
Cd2 0.000 0.500 0.500
Cd3 0.166 0.000 0.818
```

Properties
Energy: -2.56 eV/atom
M_tot: 0.0000 μB per atom
Formation energy from the elements: -0.310 eV/atom

(11)
Below is a geometry-optimized La3Cd structure, with properties calculated at the PBE level.

Cell and atoms, written as CIF:
```
data_La3Cd
_chemical_formula_sum 'La3 Cd1'
_cell_length_a 5.076
_cell_length_b 5.076
_cell_length_c 5.076
_cell_angle_alpha 90.00
_cell_angle_beta 90.00
_cell_angle_gamma 90.00
_space_group_name_H-M_alt 'P m -3 m'
_space_group_IT_number 221
_space_group_name_Hall '-P 4 2 3'
loop_
_atom_site_label
_atom_site_fract_x
_atom_site_fract_y
_atom_site_fract_z
La1 0.000 0.000 0.500
Cd1 0.500 0.500 0.500
```

Properties
Energy: -4.05 eV/atom
M_tot: 0.0000 μB per atom
Formation energy from the elements: -0.130 eV/atom

- Which formula does entry 9 have?
  LaCd2

- Which of these has the highest formation energy from the elements?
  LaCd3

- Which of these has the lowest energy?
  number 4

- The highest M_tot belongs to which entry?
  number 9